[1]
DFT (GGA-PBE) results for crystalline Cs3NiPd at its relaxed geometry.

```
Cs3NiPd
1.0
-4.350 4.188 0.433
-1.895 -2.503 5.176
3.760 3.584 3.110
Cs Ni Pd
3 1 1
direct
0.000 0.500 0.000 Cs
0.000 0.000 0.500 Cs
0.500 0.000 0.000 Cs
0.000 0.000 0.000 Ni
0.500 0.500 0.500 Pd
```

Properties
- Fermi-level density of states: 1.457 states/eV/atom
- Size of the total moment: 0.284 μB per cell
- Energy of formation: 0.66 eV per atom

[2]
DFT (GGA-PBE) results for crystalline V2CrIrSe at its relaxed geometry.

```
V2CrIrSe
1.0
4.568 0.000 0.000
0.000 4.849 0.000
0.000 0.000 4.568
Cr Ir Se V
1 1 1 2
direct
0.500 0.500 0.500 Cr
0.000 0.000 0.000 Ir
0.000 0.500 0.000 Se
0.000 0.000 0.500 V
0.500 0.000 0.000 V
```

Properties
- Fermi-level density of states: 1.500 states/eV/atom
- Size of the total moment: 0.653 μB per cell
- Uncorrected formation energy: 1.5435 eV/atom

[3]
DFT (GGA-PBE) results for crystalline Ta3TiNb4 at its relaxed geometry.

```
Ta3TiNb4
1.0
-1.651 -1.444 -4.131
3.120 -5.787 0.776
-7.560 -3.507 4.246
Nb Ti Ta
8 2 6
direct
0.500 0.751 0.000 Nb
0.500 0.751 0.500 Nb
0.500 0.249 0.000 Nb
0.500 0.249 0.500 Nb
0.000 0.751 0.750 Nb
0.000 0.751 0.250 Nb
0.000 0.249 0.250 Nb
0.000 0.249 0.750 Nb
0.000 0.500 0.000 Ti
0.000 0.500 0.500 Ti
0.000 0.000 0.000 Ta
0.000 0.000 0.500 Ta
0.500 0.000 0.750 Ta
0.500 0.000 0.250 Ta
0.500 0.500 0.750 Ta
0.500 0.500 0.250 Ta
```

Properties
- Fermi-level density of states: 1.780 states/eV/atom
- Size of the total moment: 0.001 μB per cell
- Energy of formation: 0.00 eV per atom

[4]
DFT (GGA-PBE) results for crystalline LaZr2TlH at its relaxed geometry.

```
LaZr2TlH
1.0
-1.822 -4.291 0.402
4.069 -1.857 -1.373
1.447 -0.189 4.542
H Tl Zr La
1 1 2 1
direct
0.000 0.000 0.000 H
0.500 0.500 0.500 Tl
0.000 0.500 0.000 Zr
0.500 0.000 0.000 Zr
0.000 0.000 0.500 La
```

Properties
- Fermi-level density of states: 0.864 states/eV/atom
- Size of the total moment: 0.000 μB per cell
- Total energy: -5.69 eV per atom

[5]
DFT (GGA-PBE) results for crystalline BeSi2H at its relaxed geometry.

```
BeSi2H
1.0
3.877 0.000 -0.001
-0.001 3.916 0.000
-0.094 -0.211 7.480
Be Si H
2 4 2
direct
0.517 0.891 0.846 Be
0.520 0.461 0.016 Be
0.526 0.039 0.480 Si
0.024 0.083 0.665 Si
0.016 0.576 0.856 Si
0.429 0.531 0.309 Si
0.036 0.530 0.331 H
0.518 0.095 0.007 H
```

Properties
- Fermi-level density of states: 0.004 states/eV/atom
- Size of the total moment: 0.000 μB per cell
- ΔE to the lowest computed polymorph: 47 kJ/mol of formula units

[6]
DFT (GGA-PBE) results for crystalline TbSm2Er5 at its relaxed geometry.

```
TbSm2Er5
1.0
5.003 0.000 0.000
0.000 7.086 0.000
0.000 0.000 14.175
Tb Sm Er
2 4 10
direct
0.000 0.000 0.500 Tb
0.000 0.500 0.000 Tb
0.500 0.251 0.625 Sm
0.500 0.749 0.375 Sm
0.500 0.249 0.125 Sm
0.500 0.751 0.875 Sm
0.000 0.000 0.000 Er
0.000 0.500 0.500 Er
0.000 0.500 0.750 Er
0.000 0.500 0.250 Er
0.000 0.000 0.250 Er
0.000 0.000 0.750 Er
0.500 0.250 0.875 Er
0.500 0.750 0.125 Er
0.500 0.250 0.375 Er
0.500 0.750 0.625 Er
```

Properties
- Fermi-level density of states: 1.273 states/eV/atom
- Size of the total moment: 0.000 μB per cell
- Energy of formation: 0.02 eV per atom

[7]
DFT (GGA-PBE) results for crystalline B5C7 at its relaxed geometry.

```
B5C7
1.0
-0.598 4.498 0.896
-3.754 -2.567 -0.844
1.683 -1.757 4.080
B C
5 7
direct
0.172 0.837 0.546 B
0.018 0.751 0.136 B
0.386 0.638 0.987 B
0.823 0.152 0.506 B
0.634 0.304 0.988 B
0.501 0.499 0.498 C
0.353 0.371 0.138 C
0.232 0.546 0.617 C
0.723 0.048 0.114 C
0.544 0.222 0.597 C
0.002 0.013 0.993 C
0.863 0.868 0.630 C
```

Properties
- Fermi-level density of states: 0.059 states/eV/atom
- Size of the total moment: 0.000 μB per cell
- ΔE to the lowest computed polymorph: 173 kJ/mol of formula units
- Energy of formation: 0.41 eV per atom

[8]
DFT (GGA-PBE) results for crystalline Sr4TeIr at its relaxed geometry.

```
Sr4TeIr
1.0
-1.211 2.875 6.117
-8.242 -0.783 -3.544
4.075 -7.648 1.688
Sr Te Ir
8 2 2
direct
0.022 0.210 0.872 Sr
0.800 0.719 0.663 Sr
0.350 0.661 0.872 Sr
0.363 0.944 0.663 Sr
0.637 0.056 0.337 Sr
0.650 0.339 0.128 Sr
0.200 0.281 0.337 Sr
0.978 0.790 0.128 Sr
0.377 0.627 0.253 Te
0.623 0.373 0.747 Te
0.251 0.001 0.003 Ir
0.749 0.999 0.997 Ir
```

Properties
- Fermi-level density of states: 0.644 states/eV/atom
- Size of the total moment: 0.000 μB per cell
- ΔE to the lowest computed polymorph: 0 kJ/mol of formula units
- Uncorrected formation energy: -0.5986 eV/atom

[9]
DFT (GGA-PBE) results for crystalline Rb3Dy3TaSe8 at its relaxed geometry.

```
Rb3Dy3TaSe8
1.0
8.183 0.000 0.000
-4.092 7.088 -0.031
0.000 -4.690 8.224
Rb Dy Ta Se
3 3 1 8
direct
0.000 0.000 0.000 Rb
0.000 0.500 0.000 Rb
0.500 0.500 0.000 Rb
0.500 0.000 0.500 Dy
0.500 0.500 0.500 Dy
0.000 0.500 0.500 Dy
0.000 0.000 0.500 Ta
0.268 0.535 0.303 Se
0.732 0.465 0.697 Se
0.782 0.565 0.314 Se
0.218 0.435 0.686 Se
0.782 0.030 0.314 Se
0.218 0.970 0.686 Se
0.248 0.030 0.314 Se
0.752 0.970 0.686 Se
```

Properties
- Fermi-level density of states: 0.276 states/eV/atom
- Size of the total moment: 1.024 μB per cell
- Uncorrected formation energy: -1.4979 eV/atom

[10]
DFT (GGA-PBE) results for crystalline MgCu2Cl at its relaxed geometry.

```
MgCu2Cl
1.0
0.000 3.283 3.283
3.283 0.000 3.283
3.283 3.283 0.000
Mg Cu Cl
1 2 1
direct
0.000 0.000 0.000 Mg
0.250 0.250 0.250 Cu
0.750 0.750 0.750 Cu
0.500 0.500 0.500 Cl
```

Properties
- Fermi-level density of states: 3.040 states/eV/atom
- Size of the total moment: 0.000 μB per cell
- ΔE to the lowest computed polymorph: 269 kJ/mol of formula units
- Uncorrected formation energy: 0.4329 eV/atom

[11]
DFT (GGA-PBE) results for crystalline ThMg4Sn2 at its relaxed geometry.

```
ThMg4Sn2
1.0
4.970 0.000 0.000
2.485 4.304 0.000
2.485 1.435 8.069
Th Mg Sn
1 4 2
direct
0.000 0.000 0.000 Th
0.431 0.431 0.706 Mg
0.141 0.141 0.578 Mg
0.569 0.569 0.294 Mg
0.859 0.859 0.422 Mg
0.265 0.265 0.206 Sn
0.735 0.735 0.794 Sn
```

Properties
- Fermi-level density of states: 0.405 states/eV/atom
- Size of the total moment: 0.000 μB per cell
- Energy of formation: -0.20 eV per atom

[12]
DFT (GGA-PBE) results for crystalline CaPdC at its relaxed geometry.

```
CaPdC
1.0
4.035 0.000 0.001
0.000 3.659 0.000
-1.142 0.000 6.954
Ca C Pd
2 2 2
direct
0.442 0.500 0.514 Ca
0.250 0.500 0.019 Ca
0.525 0.000 0.803 C
0.736 0.000 0.966 C
0.854 0.000 0.267 Pd
0.001 0.000 0.691 Pd
```

Properties
- Fermi-level density of states: 0.189 states/eV/atom
- Size of the total moment: 0.000 μB per cell
- ΔE to the lowest computed polymorph: 2 kJ/mol of formula units
- Energy of formation: -0.28 eV per atom